# Y2TlSi (meta-GGA SCAN, PBEsol geometry)
data_Y2TlSi
_space_group_name_H-M_alt 'A m m 2'
_space_group_IT_number 38
_space_group_name_Hall 'A 2 -2'
_cell_length_a 4.074
_cell_length_b 4.359
_cell_length_c 10.940
_cell_angle_alpha 90.00
_cell_angle_beta 90.00
_cell_angle_gamma 90.00
loop_
_atom_site_label
_atom_site_fract_x
_atom_site_fract_y
_atom_site_fract_z
Y1 0.000 0.000 0.000
Y2 0.500 0.000 0.280
Tl1 0.500 0.000 0.562
Si1 0.000 0.000 0.731
# - M_tot: 0.00 μB/f.u.
# - VASP energy: -281.81 eV for the cell shown
# - Formation energy without anion corrections: -0.71 eV per atom



# Y2TlSi (meta-GGA SCAN, PBEsol geometry)
data_Y2TlSi
_space_group_name_H-M_alt 'P 4/m m m'
_space_group_IT_number 123
_space_group_name_Hall '-P 4 2'
_cell_length_a 3.301
_cell_length_b 3.301
_cell_length_c 8.487
_cell_angle_alpha 90.00
_cell_angle_beta 90.00
_cell_angle_gamma 90.00
loop_
_atom_site_label
_atom_site_fract_x
_atom_site_fract_y
_atom_site_fract_z
Y1 0.000 0.000 0.220
Tl1 0.500 0.500 0.500
Si1 0.500 0.500 0.000
# - M_tot: 0.63 μB/f.u.
# - VASP energy: -140.20 eV for the cell shown
# - Formation energy without anion corrections: -0.54 eV per atom



# Y4TlSi (meta-GGA SCAN, PBEsol geometry)
data_Y4TlSi
_space_group_name_H-M_alt 'F -4 3 m'
_space_group_IT_number 216
_space_group_name_Hall 'F -4 2 3'
_cell_length_a 8.604
_cell_length_b 8.604
_cell_length_c 8.604
_cell_angle_alpha 90.00
_cell_angle_beta 90.00
_cell_angle_gamma 90.00
loop_
_atom_site_label
_atom_site_fract_x
_atom_site_fract_y
_atom_site_fract_z
Y1 0.125 0.125 0.125
Tl1 0.250 0.250 0.750
Si1 0.000 0.000 0.500
# - M_tot: 0.00 μB/f.u.
# - VASP energy: -765.33 eV for the cell shown
# - Formation energy without anion corrections: 0.40 eV per atom



# Y2TlSi (meta-GGA SCAN, PBEsol geometry)
data_Y2TlSi
_space_group_name_H-M_alt 'F m -3 m'
_space_group_IT_number 225
_space_group_name_Hall '-F 4 2 3'
_cell_length_a 7.231
_cell_length_b 7.231
_cell_length_c 7.231
_cell_angle_alpha 90.00
_cell_angle_beta 90.00
_cell_angle_gamma 90.00
loop_
_atom_site_label
_atom_site_fract_x
_atom_site_fract_y
_atom_site_fract_z
Y1 0.250 0.250 0.250
Tl1 0.000 0.000 0.000
Si1 0.000 0.000 0.500
# - M_tot: 0.00 μB/f.u.
# - VASP energy: -559.87 eV for the cell shown
# - Formation energy without anion corrections: -0.48 eV per atom



Q: The highest formation energy without anion corrections belongs to which entry?
A: Y4TlSi



Q: Which of these has the lowest VASP energy?
A: Y4TlSi



Q: VASP energy of number 3 (Y4TlSi)?
A: -765.33 eV for the cell shown



Q: formation energy without anion corrections of number 2 (Y2TlSi)?
A: -0.54 eV per atom